# 1
Compound: K4Pu3MoO12
Source: Alexandria
Functional: PBE+U
Structure: optimized geometry

## Properties
E = -161.26 eV per formula unit
spin magnetization = 10.00 μB per formula unit
N(E_F) = 11.47 states/eV/f.u.

a = 8.451 Å, b = 8.451 Å, c = 8.451 Å
α = 90.00°, β = 90.00°, γ = 90.00°
Space group Im-3m (No. 229)
Asymmetric unit:
K: 0.250 0.250 0.250
Pu: 0.000 0.000 0.500
Mo: 0.000 0.000 0.000
O: 0.000 0.000 0.234
O: 0.000 0.250 0.500

***

# 2
Compound: K2PuMoO6
Source: Alexandria
Functional: PBE+U
Structure: optimized geometry

## Properties
E = -74.90 eV per formula unit
spin magnetization = 4.00 μB per formula unit
N(E_F) = 5.86 states/eV/f.u.

a = 5.875 Å, b = 5.875 Å, c = 8.327 Å
α = 90.00°, β = 90.00°, γ = 90.00°
Space group I4/mmm (No. 139)
Asymmetric unit:
K: 0.000 0.500 0.250
Pu: 0.000 0.000 0.000
Mo: 0.000 0.000 0.500
O: 0.000 0.000 0.267
O: 0.244 0.244 0.500

***

# 3
Compound: K2Rb3MoO6
Source: Alexandria
Functional: PBE+U
Structure: optimized geometry

## Properties
E = -59.59 eV per formula unit
spin magnetization = 1.07 μB per formula unit
N(E_F) = 9.19 states/eV/f.u.

a = 6.564 Å, b = 11.292 Å, c = 6.574 Å
α = 90.00°, β = 109.61°, γ = 90.00°
Space group C2/m (No. 12)
Asymmetric unit:
K: 0.000 0.166 0.000
Rb: 0.000 0.000 0.500
Rb: 0.000 0.331 0.500
Mo: 0.000 0.500 0.000
O: 0.183 0.500 0.817
O: 0.185 0.376 0.184

***

# 4
Compound: K2RbMoO4
Source: Alexandria
Functional: PBE+U
Structure: optimized geometry

## Properties
E = -43.63 eV per formula unit
spin magnetization = 1.00 μB per formula unit

a = 8.830 Å, b = 9.407 Å, c = 8.228 Å
α = 90.00°, β = 90.00°, γ = 90.00°
Space group Fmm2 (No. 42)
Asymmetric unit:
K: 0.250 0.250 0.000
Rb: 0.000 0.000 0.243
Mo: 0.000 0.000 0.764
O: 0.000 0.178 0.662
O: 0.183 0.000 0.880

***

# 5
Compound: KRbMoO4
Source: Alexandria
Functional: PBE+U
Structure: optimized geometry

## Properties
E = -42.04 eV per formula unit
spin magnetization = 0.17 μB per formula unit
N(E_F) = 0.00 states/eV/f.u.

a = 6.552 Å, b = 6.699 Å, c = 7.663 Å
α = 90.00°, β = 108.66°, γ = 90.00°
Space group P2_1/m (No. 11)
Asymmetric unit:
K: 0.179 0.250 0.025
Rb: 0.298 0.250 0.566
Mo: 0.263 0.750 0.812
O: 0.089 0.534 0.764
O: 0.421 0.750 0.051
O: 0.443 0.750 0.676

***

# 6
Compound: K2RbMo2O7
Source: Alexandria
Functional: PBE+U
Structure: optimized geometry

## Properties
E = -72.39 eV per formula unit
spin magnetization = 1.00 μB per formula unit
N(E_F) = 6.59 states/eV/f.u.

a = 6.6968 Å, b = 6.6968 Å, c = 25.1096 Å
α = 90.00°, β = 90.00°, γ = 120.00°
Space group R32 (No. 155, hexagonal axes)
Asymmetric unit:
K: 0.0000 0.0000 0.2198
Rb: 0.0000 0.0000 0.5000
Mo: 0.0000 0.0000 0.0762
O: 0.0000 0.0000 0.0000
O: 0.0191 0.2606 0.1020

***

# 7
Compound: KRb2Mo2O7
Source: Alexandria
Functional: PBE+U
Structure: optimized geometry

## Properties
E = -72.24 eV per formula unit
spin magnetization = 1.00 μB per formula unit
N(E_F) = 6.74 states/eV/f.u.

a = 6.6814 Å, b = 6.6814 Å, c = 24.8875 Å
α = 90.00°, β = 90.00°, γ = 120.00°
Space group R32 (No. 155, hexagonal axes)
Asymmetric unit:
K: 0.0000 0.0000 0.0000
Rb: 0.0000 0.0000 0.2758
Mo: 0.0000 0.0000 0.4230
O: 0.0000 0.0000 0.5000
O: 0.0547 0.4543 0.2696

***

# 8
Compound: KRb3Mo2O8
Source: Alexandria
Functional: PBE+U
Structure: optimized geometry

## Properties
E = -84.18 eV per formula unit
spin magnetization = 0.27 μB per formula unit
N(E_F) = 0.00 states/eV/f.u.

a = 6.4777 Å, b = 6.4777 Å, c = 8.2462 Å
α = 90.00°, β = 90.00°, γ = 120.00°
Space group P-3m1 (No. 164)
Asymmetric unit:
K: 0.0000 0.0000 0.0000
Rb: 0.0000 0.0000 0.5000
Rb: 0.3333 0.6667 0.1676
Mo: 0.3333 0.6667 0.7112
O: 0.1829 0.3659 0.7886
O: 0.3333 0.6667 0.4944

***

# 9
Compound: KRe2MoO8
Source: Alexandria
Functional: PBE+U
Structure: optimized geometry

## Properties
E = -91.78 eV per formula unit
spin magnetization = 0.99 μB per formula unit
N(E_F) = 4.49 states/eV/f.u.

a = 5.8807 Å, b = 5.8807 Å, c = 7.3713 Å
α = 90.00°, β = 90.00°, γ = 120.00°
Space group P-3 (No. 147)
Asymmetric unit:
K: 0.0000 0.0000 0.0000
Re: 0.3333 0.6667 0.7525
Mo: 0.0000 0.0000 0.5000
O: 0.1652 0.3326 0.6704
O: 0.3333 0.6667 0.9920

***

# 10
Compound: KMoRhO6
Source: Alexandria
Functional: PBE+U
Structure: optimized geometry

## Properties
E = -56.06 eV per formula unit
spin magnetization = 2.02 μB per formula unit
N(E_F) = 3.71 states/eV/f.u.

a = 5.2999 Å, b = 5.2999 Å, c = 5.9601 Å
α = 90.00°, β = 90.00°, γ = 120.00°
Space group P312 (No. 149)
Asymmetric unit:
K: 0.0000 0.0000 0.0000
Mo: 0.3333 0.6667 0.5000
Rh: 0.6667 0.3333 0.5000
O: 0.0042 0.3887 0.6813

***

# 11
Compound: K2MoSO6
Source: Alexandria
Functional: PBE+U
Structure: optimized geometry

## Properties
E = -55.19 eV per formula unit
spin magnetization = 0.00 μB per formula unit
N(E_F) = 1.31 states/eV/f.u.

a = 5.363 Å, b = 5.363 Å, c = 10.086 Å
α = 90.00°, β = 90.00°, γ = 90.00°
Space group I4/mmm (No. 139)
Asymmetric unit:
K: 0.000 0.500 0.250
Mo: 0.000 0.000 0.000
S: 0.000 0.000 0.500
O: 0.000 0.000 0.184
O: 0.235 0.235 0.500

***

# 12
Compound: K2MoS2O2
Source: Alexandria
Functional: PBE+U
Structure: optimized geometry

## Properties
relative energy among the computed polymorphs = 0.000 eV/f.u.
E = -36.77 eV per formula unit
spin magnetization = 0.00 μB per formula unit
N(E_F) = 0.00 states/eV/f.u.

a = 11.624 Å, b = 7.101 Å, c = 10.121 Å
α = 90.00°, β = 122.98°, γ = 90.00°
Space group C2/c (No. 15)
Asymmetric unit:
K: 0.218 0.053 0.334
Mo: 0.000 0.428 0.750
S: 0.017 0.241 0.938
O: 0.150 0.430 0.332

***

# 13
Compound: K2MoS3O
Source: Alexandria
Functional: PBE+U
Structure: optimized geometry

## Properties
E = -33.83 eV per formula unit
spin magnetization = 0.00 μB per formula unit
N(E_F) = 0.00 states/eV/f.u.

a = 9.251 Å, b = 7.295 Å, c = 11.433 Å
α = 90.00°, β = 90.00°, γ = 90.00°
Space group Pnma (No. 62)
Asymmetric unit:
K: 0.049 0.250 0.193
K: 0.154 0.750 0.378
Mo: 0.237 0.750 0.046
S: 0.006 0.750 0.099
S: 0.157 0.003 0.621
O: 0.249 0.250 0.392

***

# 14
Compound: K2MoS2O2
Source: Alexandria
Functional: PBE+U
Structure: optimized geometry

## Properties
relative energy among the computed polymorphs = 0.020 eV/f.u.
E = -36.75 eV per formula unit
spin magnetization = 0.00 μB per formula unit
N(E_F) = 0.00 states/eV/f.u.

a = 6.633 Å, b = 8.334 Å, c = 14.056 Å
α = 90.00°, β = 114.05°, γ = 90.00°
Space group P2_1/c (No. 14)
Asymmetric unit:
K: 0.162 0.013 0.297
K: 0.322 0.684 0.548
Mo: 0.272 0.204 0.584
S: 0.153 0.169 0.929
S: 0.441 0.660 0.302
O: 0.054 0.203 0.627
O: 0.359 0.009 0.570

***

# 15
Compound: KMoS2O8
Source: Alexandria
Functional: PBE+U
Structure: optimized geometry

## Properties
E = -75.63 eV per formula unit
spin magnetization = 3.00 μB per formula unit
N(E_F) = 0.00 states/eV/f.u.

a = 4.9795 Å, b = 4.9795 Å, c = 8.3954 Å
α = 90.00°, β = 90.00°, γ = 120.00°
Space group P-3 (No. 147)
Asymmetric unit:
K: 0.0000 0.0000 0.0000
Mo: 0.0000 0.0000 0.5000
S: 0.3333 0.6667 0.7191
O: 0.0684 0.3681 0.6584
O: 0.3333 0.6667 0.8929

***

# 16
Compound: K2SbMoO6
Source: Alexandria
Functional: PBE+U
Structure: optimized geometry

## Properties
E = -58.88 eV per formula unit
spin magnetization = 0.00 μB per formula unit
N(E_F) = 1.50 states/eV/f.u.

a = 5.785 Å, b = 5.789 Å, c = 8.189 Å
α = 90.00°, β = 90.00°, γ = 90.00°
Space group Immm (No. 71)
Asymmetric unit:
K: 0.000 0.000 0.250
Sb: 0.000 0.500 0.000
Mo: 0.000 0.500 0.500
O: 0.000 0.500 0.261
O: 0.240 0.261 0.500

***

# 17
Compound: K2Sc2MoO6
Source: Alexandria
Functional: PBE+U
Structure: optimized geometry

## Properties
E = -79.46 eV per formula unit
spin magnetization = 2.00 μB per formula unit
N(E_F) = 0.00 states/eV/f.u.

a = 5.589 Å, b = 9.500 Å, c = 6.552 Å
α = 90.00°, β = 106.77°, γ = 90.00°
Space group C2/m (No. 12)
Asymmetric unit:
K: 0.000 0.168 0.000
Sc: 0.000 0.337 0.500
Mo: 0.000 0.000 0.500
O: 0.217 0.163 0.668
O: 0.226 0.500 0.673

***

# 18
Compound: KScMoO5
Source: Alexandria
Functional: PBE+U
Structure: optimized geometry

## Properties
E = -57.48 eV per formula unit
spin magnetization = 0.00 μB per formula unit
N(E_F) = 0.00 states/eV/f.u.

a = 7.469 Å, b = 9.899 Å, c = 7.670 Å
α = 90.00°, β = 113.35°, γ = 90.00°
Space group C2/c (No. 15)
Asymmetric unit:
K: 0.000 0.182 0.250
Sc: 0.000 0.500 0.000
Mo: 0.000 0.184 0.750
O: 0.000 0.447 0.250
O: 0.091 0.290 0.612
O: 0.190 0.077 0.906

***

# 19
Compound: K2ScMoO4
Source: Alexandria
Functional: PBE+U
Structure: optimized geometry

## Properties
E = -52.99 eV per formula unit
spin magnetization = 3.00 μB per formula unit
N(E_F) = 0.00 states/eV/f.u.

a = 5.669 Å, b = 3.299 Å, c = 6.404 Å
α = 90.00°, β = 107.28°, γ = 90.00°
Space group P2/m (No. 10)
Asymmetric unit:
K: 0.000 0.000 0.000
K: 0.500 0.500 0.000
Sc: 0.000 0.500 0.500
Mo: 0.500 0.000 0.500
O: 0.221 0.000 0.680
O: 0.268 0.500 0.320